# 1
! PBE-GGA Y2HNO, relaxed; values from VASP
! Space-group type = P4/mmm, No. 123
! DFT total energy = -6.765 eV/atom
&SYSTEM
  ibrav = 0, nat = 5, ntyp = 4
/
ATOMIC_SPECIES
Y 88.91 Y.upf
H 1.01 H.upf
N 14.01 N.upf
O 16.00 O.upf
CELL_PARAMETERS angstrom
4.4793 0.0000 0.0000
0.0000 4.4793 0.0000
0.0000 0.0000 3.3071
ATOMIC_POSITIONS angstrom
Y 0.0000 2.2397 0.0000
Y 2.2397 0.0000 0.0000
H 0.0000 0.0000 1.6535
N 2.2397 2.2397 1.6535
O 0.0000 0.0000 0.0000

# 2
! PBE-GGA TlCuTe2, relaxed; values from VASP
! Energy relative to the elements, uncorrected = -29 kJ/mol of formula units
! Space-group type = Pnma, No. 62
&SYSTEM
  ibrav = 0, nat = 16, ntyp = 3
/
ATOMIC_SPECIES
Tl 204.38 Tl.upf
Cu 63.55 Cu.upf
Te 127.60 Te.upf
CELL_PARAMETERS angstrom
9.6511 0.0000 0.0000
0.0000 3.9640 0.0000
0.0000 0.0000 13.2268
ATOMIC_POSITIONS angstrom
Tl 1.3036 0.9910 0.9246
Tl 3.5220 2.9730 7.5379
Tl 6.1291 0.9910 5.6888
Tl 8.3475 2.9730 12.3022
Cu 2.3199 2.9730 4.5547
Cu 2.5057 0.9910 11.1680
Cu 7.1454 2.9730 2.0587
Cu 7.3312 0.9910 8.6721
Te 1.2292 0.9910 5.8001
Te 1.4014 2.9730 9.9582
Te 3.4241 0.9910 3.3449
Te 3.5964 2.9730 12.4135
Te 6.0547 0.9910 0.8133
Te 6.2270 2.9730 9.8819
Te 8.2496 0.9910 3.2685
Te 8.4219 2.9730 7.4267

# 3
! PBE-GGA CaMg2Os, relaxed; values from VASP
! Space-group type = I-4m2, No. 119
! DFT total energy = -3.809 eV/atom
&SYSTEM
  ibrav = 0, nat = 4, ntyp = 3
/
ATOMIC_SPECIES
Ca 40.08 Ca.upf
Mg 24.30 Mg.upf
Os 190.23 Os.upf
CELL_PARAMETERS angstrom
-2.4120 2.4120 3.4351
2.4120 -2.4120 3.4351
2.4120 2.4120 -3.4351
ATOMIC_POSITIONS angstrom
Ca 0.0000 0.0000 0.0000
Mg 2.4120 0.0000 1.7175
Mg 0.0000 0.0000 3.4351
Os 0.0000 2.4120 1.7175

# 4
! PBE-GGA Ca2BeW, relaxed; values from VASP
! Space-group type = P4/mmm, No. 123
! DFT total energy = -4.061 eV/atom
&SYSTEM
  ibrav = 0, nat = 4, ntyp = 3
/
ATOMIC_SPECIES
Ca 40.08 Ca.upf
Be 9.01 Be.upf
W 183.84 W.upf
CELL_PARAMETERS angstrom
4.9602 0.0000 0.0000
0.0000 4.9602 0.0000
0.0000 0.0000 3.7371
ATOMIC_POSITIONS angstrom
Ca 0.0000 2.4801 0.0000
Ca 2.4801 0.0000 0.0000
Be 0.0000 0.0000 1.8686
W 2.4801 2.4801 1.8686

# 5
! PBE-GGA Mg2InTe, relaxed; values from VASP
! Energy relative to the elements, uncorrected = -63 kJ/mol of formula units
! Space-group type = Immm, No. 71
&SYSTEM
  ibrav = 0, nat = 4, ntyp = 3
/
ATOMIC_SPECIES
Mg 24.30 Mg.upf
In 114.82 In.upf
Te 127.60 Te.upf
CELL_PARAMETERS angstrom
-2.0406 2.8004 4.5228
2.0406 -2.8004 4.5228
2.0406 2.8004 -4.5228
ATOMIC_POSITIONS angstrom
Mg 0.0000 0.0000 2.2067
Mg 0.0000 0.0000 6.8389
In 0.0000 2.8004 0.0000
Te 2.0406 0.0000 0.0000

# 6
! PBE-GGA Nd2Ge6Rh9, relaxed; values from VASP
! Space-group type = P6/mmm, No. 191
! DFT total energy = -6.717 eV/atom
&SYSTEM
  ibrav = 0, nat = 17, ntyp = 3
/
ATOMIC_SPECIES
Nd 144.24 Nd.upf
Ge 72.64 Ge.upf
Rh 102.91 Rh.upf
CELL_PARAMETERS angstrom
5.7118 0.0000 0.0000
-2.8559 4.9465 0.0000
0.0000 0.0000 11.1245
ATOMIC_POSITIONS angstrom
Nd 0.0000 0.0000 2.1979
Nd 0.0000 0.0000 8.9266
Ge 0.0000 3.2977 1.8397
Ge 0.0000 3.2977 5.5623
Ge 0.0000 3.2977 9.2848
Ge 2.8559 1.6488 1.8397
Ge 2.8559 1.6488 5.5623
Ge 2.8559 1.6488 9.2848
Rh -1.4279 2.4733 0.0000
Rh -1.4279 2.4733 3.6971
Rh -1.4279 2.4733 7.4274
Rh 2.8559 0.0000 0.0000
Rh 2.8559 0.0000 3.6971
Rh 2.8559 0.0000 7.4274
Rh 1.4279 2.4733 0.0000
Rh 1.4279 2.4733 3.6971
Rh 1.4279 2.4733 7.4274

# 7
! PBE-GGA Pm3PaNi8, relaxed; values from VASP
! Space-group type = R3m, No. 160
! DFT total energy = -6.154 eV/atom
&SYSTEM
  ibrav = 0, nat = 12, ntyp = 3
/
ATOMIC_SPECIES
Pm 145.00 Pm.upf
Pa 231.04 Pa.upf
Ni 58.69 Ni.upf
CELL_PARAMETERS angstrom
2.5607 1.4784 8.3516
-2.5607 1.4784 8.3516
0.0000 -2.9568 8.3516
ATOMIC_POSITIONS angstrom
Pm 0.0000 0.0000 0.0000
Pm 0.0000 0.0000 3.1226
Pm 0.0000 0.0000 15.6874
Pa 0.0000 0.0000 12.5234
Ni 0.0000 -1.4743 5.7063
Ni -1.2768 0.7372 5.7063
Ni -1.2645 -0.7301 9.9696
Ni 0.0000 0.0000 7.8420
Ni 1.2768 0.7371 5.7063
Ni 1.2645 -0.7301 9.9696
Ni 0.0000 1.4601 9.9696
Ni 0.0000 0.0000 20.3784

# 8
! PBE-GGA LiCaBr, relaxed; values from VASP
! Energy relative to the elements, uncorrected = -111 kJ/mol of formula units
! Space-group type = F-43m, No. 216
&SYSTEM
  ibrav = 0, nat = 3, ntyp = 3
/
ATOMIC_SPECIES
Li 6.94 Li.upf
Ca 40.08 Ca.upf
Br 79.90 Br.upf
CELL_PARAMETERS angstrom
0.0000 3.7135 3.7135
3.7135 0.0000 3.7135
3.7135 3.7135 0.0000
ATOMIC_POSITIONS angstrom
Li 0.0000 0.0000 0.0000
Ca 5.5703 5.5703 5.5703
Br 3.7135 3.7135 3.7135

| no. | density (g cm⁻³) |
| --- | --- |
| 1 | 5.23 |
| 2 | 6.87 |
| 3 | 5.79 |
| 4 | 4.93 |
| 5 | 4.67 |
| 6 | 8.72 |
| 7 | 9.94 |
| 8 | 2.06 |